The following is a DFT calculation (PBE) of a relaxed structure of SrIn3.

a b c (Å): 4.9753 7.0898 6.7584
angles (deg): 90.00 90.00 90.00
Last column: nearest neighbours and their distance in Å.
Fractional coordinates of all 8 atoms:
In (0.5000, 0.7456, 0.0000)  6 In 3.16-3.21, 4 Sr 3.48-3.54
Sr (0.5000, 0.5984, 0.5000)  10 In 3.48-3.71
In (0.0000, 0.8617, 0.7375)  6 In 3.16-3.21, 2 Sr 3.50
In (0.0000, 0.8617, 0.2625)  6 In 3.16-3.21, 2 Sr 3.50
In (0.5000, 0.1383, 0.7625)  6 In 3.16-3.21, 2 Sr 3.50
In (0.0000, 0.2544, 0.5000)  6 In 3.16-3.21, 4 Sr 3.48-3.54
In (0.5000, 0.1383, 0.2375)  6 In 3.16-3.21, 2 Sr 3.50
Sr (0.0000, 0.4016, 0.0000)  10 In 3.48-3.71

Properties
Crystal system ... orthorhombic
Calculated formation energy ... -321.2 meV per atom
E ... -2.795 eV per atom

***

The following is a DFT calculation (PBE) of a relaxed structure of NaTlSnCl6.

a b c (Å): 7.0496 7.0496 13.4765
angles (deg): 90.00 90.00 120.00
Last column: nearest neighbours and their distance in Å.
Fractional coordinates of all 18 atoms:
Cl (0.3492, 0.3879, 0.8566)  1 Sn 2.48
Cl (0.0387, 0.6508, 0.8566)  1 Sn 2.48
Cl (0.6121, 0.6508, 0.6434)  1 Sn 2.48
Cl (0.6121, 0.9613, 0.8566)  1 Sn 2.48
Cl (0.9613, 0.6121, 0.3566)  1 Sn 2.48
Cl (0.3879, 0.0387, 0.1434)  1 Sn 2.48
Na (0.3333, 0.6667, 0.2500)  6 Cl 2.84
Cl (0.3879, 0.3492, 0.3566)  1 Sn 2.48
Tl (0.0000, 0.0000, 0.0000)  6 Cl 3.25
Cl (0.3492, 0.9613, 0.6434)  1 Sn 2.48
Cl (0.6508, 0.6121, 0.1434)  1 Sn 2.48
Cl (0.6508, 0.0387, 0.3566)  1 Sn 2.48
Sn (0.6667, 0.3333, 0.2500)  6 Cl 2.48
Tl (0.0000, 0.0000, 0.5000)  6 Cl 3.25
Cl (0.0387, 0.3879, 0.6434)  1 Sn 2.48
Sn (0.3333, 0.6667, 0.7500)  6 Cl 2.48
Cl (0.9613, 0.3492, 0.1434)  1 Sn 2.48
Na (0.6667, 0.3333, 0.7500)  6 Cl 2.84

Properties
Crystal system ... trigonal
E ... -3.264 eV per atom
Energy relative to the elements, uncorrected ... -1.179 eV/atom

***

The following is a DFT calculation (PBE) of a relaxed structure of Ca2CuH.

a b c (Å): 3.4055 3.4055 7.1272
angles (deg): 90.00 90.00 90.00
Last column: nearest neighbours and their distance in Å.
Fractional coordinates of all 4 atoms:
Ca (0.0000, 0.0000, 0.2499)  4 H 3.00, 4 Cu 3.00
H (0.5000, 0.5000, 0.0000)  8 Ca 3.00
Ca (0.0000, 0.0000, 0.7501)  4 H 3.00, 4 Cu 3.00
Cu (0.5000, 0.5000, 0.5000)  8 Ca 3.00

Properties
Crystal system ... tetragonal
Relative energy among the computed polymorphs ... 107 meV/atom
E ... -2.839 eV per atom

***

The following is a DFT calculation (PBE) of a relaxed structure of CsMn2AsAu.

a b c (Å): 5.4936 5.5654 5.4936
angles (deg): 90.00 90.00 90.00
Last column: nearest neighbours and their distance in Å.
Fractional coordinates of all 5 atoms:
As (0.0000, 0.5000, 0.0000)  2 Cs 2.78
Cs (0.0000, 0.0000, 0.0000)  4 Mn 2.75, 2 As 2.78
Mn (0.0000, 0.0000, 0.5000)  2 Cs 2.75
Mn (0.5000, 0.0000, 0.0000)  2 Cs 2.75
Au (0.5000, 0.5000, 0.5000)  4 As 3.88, 8 Mn 3.91

Properties
Crystal system ... tetragonal
Calculated formation energy ... 2173.0 meV per atom
E ... -3.251 eV per atom

***

The following is a DFT calculation (PBE) of a relaxed structure of BaTbAs2.

a b c (Å): 4.3755 4.3755 7.8440
angles (deg): 73.81 73.81 60.00
Last column: nearest neighbours and their distance in Å.
Fractional coordinates of all 4 atoms:
Tb (0.0000, 0.0000, 0.0000)  6 As 2.96
As (0.2642, 0.2642, 0.2074)  3 Tb 2.96
As (0.7358, 0.7358, 0.7926)  3 Tb 2.96
Ba (0.5000, 0.5000, 0.5000)  6 As 3.33

Properties
Crystal system ... trigonal
Calculated formation energy ... -1136.5 meV per atom
Relative energy among the computed polymorphs ... 0 meV/atom
E ... -5.100 eV per atom

***

The following is a DFT calculation (PBE) of a relaxed structure of TbThSbAs.

a b c (Å): 4.2735 4.2736 7.7570
angles (deg): 90.00 105.98 120.00
Last column: nearest neighbours and their distance in Å.
Fractional coordinates of all 4 atoms:
Th (0.3205, 0.5582, 0.8939)  3 As 2.97, 3 Sb 3.21
Tb (0.9521, 0.3740, 0.3415)  3 As 2.96, 3 Sb 3.18
Sb (0.4677, 0.1318, 0.6145)  3 Tb 3.18, 3 Th 3.21
As (0.1376, 0.9668, 0.1198)  3 Tb 2.96, 3 Th 2.97

Properties
Crystal system ... trigonal
E ... -6.362 eV per atom
Energy relative to the elements, uncorrected ... -1.157 eV/atom